Record 1
Entry from Alexandria via LeMat-Bulk: a PBEsol-optimized structure of ZrTlP2 (meta-GGA SCAN).

```
ZrTlP2
1.0
3.5072 0.0000 0.0000
0.0000 3.7178 0.0000
0.0000 0.0000 12.6395
Zr Tl P
2 2 4
Direct
0.0000 0.0000 0.0000 Zr
0.5000 0.5000 0.5000 Zr
0.0000 0.5000 0.2531 Tl
0.5000 0.0000 0.7531 Tl
0.0000 0.0000 0.4480 P
0.0000 0.5000 0.6535 P
0.5000 0.0000 0.1535 P
0.5000 0.5000 0.9480 P
```

Output
- distance to the lowest polymorph of the same formula (meV/atom) = 15
- space group = Imm2 (44)

***

Record 2
Entry from Alexandria via LeMat-Bulk: a PBEsol-optimized structure of ZnCr2Fe (meta-GGA SCAN).

```
ZnCr2Fe
1.0
2.4970 0.0000 0.0000
-1.2485 2.1625 0.0000
0.0000 0.0000 25.1726
Zn Cr Fe
3 6 3
Direct
0.0000 0.0000 0.0000 Zn
0.3333 0.6667 0.6667 Zn
0.6667 0.3333 0.3333 Zn
0.0000 0.0000 0.2443 Cr
0.0000 0.0000 0.7557 Cr
0.3333 0.6667 0.4223 Cr
0.3333 0.6667 0.9110 Cr
0.6667 0.3333 0.0890 Cr
0.6667 0.3333 0.5777 Cr
0.0000 0.0000 0.5000 Fe
0.3333 0.6667 0.1667 Fe
0.6667 0.3333 0.8333 Fe
```

Output
- space group = R-3m (166)

***

Record 3
Entry from Alexandria via LeMat-Bulk: a PBEsol-optimized structure of Zr2ZnCd (meta-GGA SCAN).

```
Zr2ZnCd
1.0
4.3290 0.0000 0.0000
0.0000 4.3290 0.0000
0.0000 0.0000 4.0957
Zr Zn Cd
2 1 1
Direct
0.0000 0.5000 0.0000 Zr
0.5000 0.0000 0.0000 Zr
0.0000 0.0000 0.5000 Zn
0.5000 0.5000 0.5000 Cd
```

Output
- distance to the lowest polymorph of the same formula (meV/atom) = 22
- space group = P4/mmm (123)

***

Record 4
Entry from Alexandria via LeMat-Bulk: a PBEsol-optimized structure of BaCdPb (meta-GGA SCAN).

```
BaCdPb
1.0
4.9248 0.0000 0.0000
-2.4624 4.2650 0.0000
0.0000 0.0000 4.9709
Ba Cd Pb
1 1 1
Direct
0.0000 0.0000 0.0000 Ba
0.3333 0.6667 0.5144 Cd
0.6667 0.3333 0.4853 Pb
```

Output
- space group = P3m1 (156)

***

no.,mass density (g/cm3),energy of formation from the pure elements (eV per formula unit)
1,7.21,-1.6
2,8.26,1.3
3,7.79,-0.9
4,7.27,-1.9